An optimized crystal structure of NaSrGa. Source: Alexandria, functional PBE.

Computed properties:
Uncorrected energy   -13.58 eV for the cell shown
Formation energy   -0.25 eV per atom
DOS(E_F)   0.681 states/eV/atom

Cell lengths 4.413, 4.661, 10.249 Å; angles 102.77, 89.98, 90.00 degrees
Positions (direct):
Na (0.636, 0.831, 0.509)
Na (0.136, 0.234, 0.316)
Sr (0.637, 0.617, 0.084)
Sr (0.137, 0.448, 0.741)
Ga (0.136, 0.067, 0.981)
Ga (0.636, 0.998, 0.844)